Li5Ga2Au12: optimized geometry, PBE.

## Properties
- Formation enthalpy at 0 K: -0.345 eV/atom
- Calculated total energy: -3.238 eV/atom
- ΔE to the lowest computed polymorph: 10 meV per atom

Lattice parameters (Å, degrees): 7.263 7.263 8.522 121.53 121.53 71.07
Fractional positions:
Li1 0.000 0.000 0.000
Li2 0.246 0.246 0.832
Li3 0.298 0.298 0.197
Li4 0.702 0.702 0.803
Li5 0.754 0.754 0.168
Ga1 0.258 0.742 0.500
Ga2 0.742 0.258 0.500
Au1 0.032 0.558 0.703
Au2 0.083 0.083 0.412
Au3 0.142 0.657 0.104
Au4 0.343 0.858 0.896
Au5 0.413 0.413 0.615
Au6 0.442 0.968 0.297
Au7 0.558 0.032 0.703
Au8 0.587 0.587 0.385
Au9 0.657 0.142 0.104
Au10 0.858 0.343 0.896
Au11 0.917 0.917 0.588
Au12 0.968 0.442 0.297